Record 1
VASP calculation (PBE) on a relaxed MnTl2Br crystal.

Unit cell a=4.435 b=4.435 c=11.574 alpha=90.00 beta=90.00 gamma=90.00
Sites, in units of the cell vectors:
Mn (0.000, 0.000, 0.000)
Mn (0.500, 0.500, 0.500)
Tl (0.000, 0.000, 0.500)
Tl (0.000, 0.500, 0.750)
Tl (0.500, 0.000, 0.250)
Tl (0.500, 0.500, 0.000)
Br (0.000, 0.500, 0.250)
Br (0.500, 0.000, 0.750)

Output
- density of states at the Fermi level (states/eV/f.u.) = 2.56
- spin magnetization (μB per atom) = 1.08
- ΔE_f (raw) (eV/f.u.) = 0.8



Record 2
VASP calculation (PBE) on a relaxed Cr3IN crystal.

Unit cell a=3.990 b=3.990 c=3.990 alpha=90.00 beta=90.00 gamma=90.00
Sites, in units of the cell vectors:
Cr (0.000, 0.000, 0.500)
Cr (0.000, 0.500, 0.000)
Cr (0.500, 0.000, 0.000)
I (0.500, 0.500, 0.500)
N (0.000, 0.000, 0.000)

Output
- density of states at the Fermi level (states/eV/f.u.) = 3.07
- spin magnetization (μB per atom) = 0.75
- ΔE_f (raw) (eV/f.u.) = 2.1



Record 3
VASP calculation (PBE) on a relaxed NaSn3Au crystal.

Unit cell a=5.352 b=5.352 c=5.352 alpha=90.00 beta=90.00 gamma=90.00
Sites, in units of the cell vectors:
Na (0.000, 0.000, 0.000)
Sn (0.000, 0.000, 0.500)
Sn (0.000, 0.500, 0.000)
Sn (0.500, 0.000, 0.000)
Au (0.500, 0.500, 0.500)

Output
- ΔH_f (0 K) (eV/f.u.) = 3.8
- density of states at the Fermi level (states/eV/f.u.) = 2.18
- spin magnetization (μB per atom) = 0.00



Record 4
VASP calculation (PBE) on a relaxed SrEuInSnO6 crystal.

Unit cell a=5.873 b=5.873 c=5.873 alpha=60.00 beta=60.00 gamma=60.00
Sites, in units of the cell vectors:
Sr (0.000, 0.000, 0.000)
Eu (0.500, 0.500, 0.500)
In (0.750, 0.750, 0.750)
Sn (0.250, 0.250, 0.250)
O (0.005, 0.005, 0.495)
O (0.005, 0.495, 0.005)
O (0.005, 0.495, 0.495)
O (0.495, 0.005, 0.005)
O (0.495, 0.005, 0.495)
O (0.495, 0.495, 0.005)

Output
- density of states at the Fermi level (states/eV/f.u.) = 10.42
- spin magnetization (μB per atom) = 0.60
- ΔE_f (raw) (eV/f.u.) = -20.0



Question: Number 1 is which compound?
Answer: MnTl2Br



Question: Which of these has the lowest density of states at the Fermi level?
Answer: NaSn3Au



Question: Among the records above, which one has the highest spin magnetization?
Answer: MnTl2Br